Run a
Computed, not measured: an optimized crystal structure of K2Na6Cd at the PBE-GGA level of DFT.

Cell: 7.457 7.457 7.909 Å, 101.26 101.26 60.70°
Sites, in units of the cell vectors:
K (0.154, 0.154, 0.369)
K (0.846, 0.846, 0.631)
Na (0.121, 0.632, 0.172)
Na (0.368, 0.879, 0.828)
Na (0.377, 0.377, 0.806)
Na (0.623, 0.623, 0.194)
Na (0.632, 0.121, 0.172)
Na (0.879, 0.368, 0.828)
Cd (0.500, 0.500, 0.500)

* total moment: 0.00 Bohr magnetons per cell


Run b
Computed, not measured: an optimized crystal structure of K2Na6Cd at the PBE-GGA level of DFT.

Cell: 4.185 10.810 10.810 Å, 127.63 90.00 90.00°
Sites, in units of the cell vectors:
K (0.000, 0.192, 0.808)
K (0.000, 0.808, 0.192)
Na (0.000, 0.255, 0.467)
Na (0.000, 0.467, 0.255)
Na (0.000, 0.764, 0.764)
Na (0.500, 0.117, 0.117)
Na (0.500, 0.513, 0.803)
Na (0.500, 0.803, 0.513)
Cd (0.500, 0.492, 0.492)

* total moment: 0.00 Bohr magnetons per cell


Which of them is most stable, and which least? Most stable: run a; least stable: run b.


Run a
Computed, not measured: an optimized crystal structure of KNa3Cd8 at the PBE-GGA level of DFT.

Cell: 10.747 10.747 10.747 Å, 32.66 32.66 32.66°
Sites, in units of the cell vectors:
K (0.000, 0.000, 0.000)
Na (0.127, 0.127, 0.127)
Na (0.500, 0.500, 0.500)
Na (0.622, 0.622, 0.622)
Cd (0.062, 0.062, 0.559)
Cd (0.062, 0.559, 0.062)
Cd (0.066, 0.564, 0.564)
Cd (0.312, 0.312, 0.312)
Cd (0.559, 0.062, 0.062)
Cd (0.564, 0.066, 0.564)
Cd (0.564, 0.564, 0.066)
Cd (0.813, 0.813, 0.813)

* total moment: 0.00 Bohr magnetons per cell


Run b
Computed, not measured: an optimized crystal structure of KNa3Cd8 at the PBE-GGA level of DFT.

Cell: 6.081 6.081 9.909 Å, 90.00 90.00 120.00°
Sites, in units of the cell vectors:
K (0.000, 0.000, 0.000)
Na (0.000, 0.000, 0.381)
Na (0.667, 0.333, 0.501)
Na (0.667, 0.333, 0.870)
Cd (0.163, 0.327, 0.683)
Cd (0.163, 0.837, 0.683)
Cd (0.333, 0.667, 0.437)
Cd (0.333, 0.667, 0.937)
Cd (0.504, 0.008, 0.194)
Cd (0.504, 0.496, 0.194)
Cd (0.673, 0.837, 0.683)
Cd (0.992, 0.496, 0.194)

* total moment: 0.00 Bohr magnetons per cell


Which of them is most stable, and which least? Most stable: run b; least stable: run a.


Run a
Computed, not measured: an optimized crystal structure of KNaCd2Pd at the PBE-GGA level of DFT.

Cell: 5.314 5.314 5.887 Å, 90.00 90.00 90.00°
Sites, in units of the cell vectors:
K (0.000, 0.000, 0.000)
Na (0.500, 0.500, 0.000)
Cd (0.000, 0.500, 0.500)
Cd (0.500, 0.000, 0.500)
Pd (0.000, 0.000, 0.500)

* total moment: 0.00 Bohr magnetons per cell


Run b
Computed, not measured: an optimized crystal structure of KNaCd2Pd at the PBE-GGA level of DFT.

Cell: 5.325 5.325 5.465 Å, 90.00 90.00 90.00°
Sites, in units of the cell vectors:
K (0.000, 0.000, 0.000)
Na (0.500, 0.500, 0.000)
Cd (0.000, 0.500, 0.500)
Cd (0.500, 0.000, 0.500)
Pd (0.500, 0.500, 0.500)

* total moment: 0.00 Bohr magnetons per cell


Which of them is most stable, and which least? Most stable: run b; least stable: run a.


Run a
Computed, not measured: an optimized crystal structure of KNa2CdSn at the PBE-GGA level of DFT.

Cell: 6.029 6.029 5.610 Å, 90.00 90.00 90.00°
Sites, in units of the cell vectors:
K (0.000, 0.000, 0.000)
Na (0.000, 0.500, 0.500)
Na (0.500, 0.000, 0.500)
Cd (0.500, 0.500, 0.000)
Sn (0.500, 0.500, 0.500)

* total moment: 0.00 Bohr magnetons per cell


Run b
Computed, not measured: an optimized crystal structure of KNa2CdSn at the PBE-GGA level of DFT.

Cell: 5.909 5.909 5.502 Å, 90.00 90.00 90.00°
Sites, in units of the cell vectors:
K (0.000, 0.000, 0.000)
Na (0.000, 0.500, 0.500)
Na (0.500, 0.000, 0.500)
Cd (0.500, 0.500, 0.500)
Sn (0.500, 0.500, 0.000)

* total moment: 0.00 Bohr magnetons per cell


Which of them is most stable, and which least? Most stable: run a; least stable: run b.


Run a
Computed, not measured: an optimized crystal structure of KNaSr2Cd at the PBE-GGA level of DFT.

Cell: 6.451 6.451 6.639 Å, 90.00 90.00 90.00°
Sites, in units of the cell vectors:
K (0.000, 0.000, 0.000)
Na (0.500, 0.500, 0.000)
Sr (0.000, 0.500, 0.500)
Sr (0.500, 0.000, 0.500)
Cd (0.000, 0.000, 0.500)

* total moment: 0.00 Bohr magnetons per cell


Run b
Computed, not measured: an optimized crystal structure of KNaSr2Cd at the PBE-GGA level of DFT.

Cell: 6.509 6.509 6.132 Å, 90.00 90.00 90.00°
Sites, in units of the cell vectors:
K (0.000, 0.000, 0.000)
Na (0.500, 0.500, 0.000)
Sr (0.000, 0.500, 0.500)
Sr (0.500, 0.000, 0.500)
Cd (0.500, 0.500, 0.500)

* total moment: 0.00 Bohr magnetons per cell


Which of them is most stable, and which least? Most stable: run b; least stable: run a.


Run a
Computed, not measured: an optimized crystal structure of KNaTlCd2 at the PBE-GGA level of DFT.

Cell: 7.838 7.838 7.838 Å, 148.37 140.48 51.48°
Sites, in units of the cell vectors:
K (0.000, 0.000, 0.000)
Na (0.239, 0.739, 0.500)
Tl (0.401, 0.401, 0.000)
Cd (0.617, 0.617, 0.000)
Cd (0.774, 0.274, 0.500)

* total moment: 0.00 Bohr magnetons per cell


Run b
Computed, not measured: an optimized crystal structure of KNaTlCd2 at the PBE-GGA level of DFT.

Cell: 5.778 5.778 5.944 Å, 90.00 90.00 90.00°
Sites, in units of the cell vectors:
K (0.000, 0.000, 0.000)
Na (0.500, 0.500, 0.000)
Tl (0.500, 0.500, 0.500)
Cd (0.000, 0.500, 0.500)
Cd (0.500, 0.000, 0.500)

* total moment: 0.00 Bohr magnetons per cell


Which of them is most stable, and which least? Most stable: run a; least stable: run b.


Run a
Computed, not measured: an optimized crystal structure of KNbCd2 at the PBE-GGA level of DFT.

Cell: 10.896 10.896 10.896 Å, 150.90 150.90 41.62°
Sites, in units of the cell vectors:
K (0.000, 0.000, 0.000)
K (0.750, 0.250, 0.500)
Nb (0.250, 0.750, 0.500)
Nb (0.500, 0.500, 0.000)
Cd (0.302, 0.625, 0.177)
Cd (0.375, 0.552, 0.677)
Cd (0.448, 0.125, 0.823)
Cd (0.875, 0.698, 0.323)

* total moment: 7.82 Bohr magnetons per cell


Run b
Computed, not measured: an optimized crystal structure of KNbCd2 at the PBE-GGA level of DFT.

Cell: 5.255 5.255 5.255 Å, 60.00 60.00 60.00°
Sites, in units of the cell vectors:
K (0.000, 0.000, 0.000)
Nb (0.500, 0.500, 0.500)
Cd (0.250, 0.250, 0.250)
Cd (0.750, 0.750, 0.750)

* total moment: 2.46 Bohr magnetons per cell


Which of them is most stable, and which least? Most stable: run b; least stable: run a.


Run a
Computed, not measured: an optimized crystal structure of KNbCd3 at the PBE-GGA level of DFT.

Cell: 5.626 5.626 5.626 Å, 90.00 90.00 90.00°
Sites, in units of the cell vectors:
K (0.000, 0.000, 0.000)
Nb (0.500, 0.500, 0.500)
Cd (0.000, 0.500, 0.500)
Cd (0.500, 0.000, 0.500)
Cd (0.500, 0.500, 0.000)

* total moment: 3.32 Bohr magnetons per cell


Run b
Computed, not measured: an optimized crystal structure of KNbCd3 at the PBE-GGA level of DFT.

Cell: 5.798 5.798 5.798 Å, 90.00 90.00 90.00°
Sites, in units of the cell vectors:
K (0.000, 0.000, 0.000)
Nb (0.500, 0.500, 0.500)
Cd (0.000, 0.000, 0.500)
Cd (0.000, 0.500, 0.000)
Cd (0.500, 0.000, 0.000)

* total moment: 4.46 Bohr magnetons per cell


Which of them is most stable, and which least? Most stable: run a; least stable: run b.


Run a
Computed, not measured: an optimized crystal structure of KCd2Ni2 at the PBE-GGA level of DFT.

Cell: 6.116 6.116 6.116 Å, 136.15 136.15 63.75°
Sites, in units of the cell vectors:
K (0.000, 0.000, 0.000)
Cd (0.250, 0.750, 0.500)
Cd (0.750, 0.250, 0.500)
Ni (0.389, 0.389, 0.000)
Ni (0.611, 0.611, 0.000)

* total moment: 0.00 Bohr magnetons per cell


Run b
Computed, not measured: an optimized crystal structure of KCd2Ni2 at the PBE-GGA level of DFT.

Cell: 8.062 8.062 2.926 Å, 90.00 90.00 90.00°
Sites, in units of the cell vectors:
K (0.000, 0.000, 0.000)
K (0.500, 0.500, 0.000)
Cd (0.173, 0.327, 0.500)
Cd (0.327, 0.827, 0.500)
Cd (0.673, 0.173, 0.500)
Cd (0.827, 0.673, 0.500)
Ni (0.113, 0.613, 0.000)
Ni (0.387, 0.113, 0.000)
Ni (0.613, 0.887, 0.000)
Ni (0.887, 0.387, 0.000)

* total moment: 0.00 Bohr magnetons per cell


Which of them is most stable, and which least? Most stable: run b; least stable: run a.


Run a
Computed, not measured: an optimized crystal structure of KCd3Ni at the PBE-GGA level of DFT.

Cell: 6.507 6.507 6.507 Å, 90.00 90.00 90.00°
Sites, in units of the cell vectors:
K (0.000, 0.000, 0.000)
Cd (0.000, 0.000, 0.500)
Cd (0.000, 0.500, 0.000)
Cd (0.500, 0.000, 0.000)
Ni (0.500, 0.500, 0.500)

* total moment: 1.11 Bohr magnetons per cell


Run b
Computed, not measured: an optimized crystal structure of KCd3Ni at the PBE-GGA level of DFT.

Cell: 5.121 5.121 5.121 Å, 90.00 90.00 90.00°
Sites, in units of the cell vectors:
K (0.000, 0.000, 0.000)
Cd (0.000, 0.500, 0.500)
Cd (0.500, 0.000, 0.500)
Cd (0.500, 0.500, 0.000)
Ni (0.500, 0.500, 0.500)

* total moment: 0.00 Bohr magnetons per cell


Which of them is most stable, and which least? Most stable: run b; least stable: run a.


Run a
Computed, not measured: an optimized crystal structure of KCd3O at the PBE-GGA level of DFT.

Cell: 6.811 6.811 6.811 Å, 90.00 90.00 90.00°
Sites, in units of the cell vectors:
K (0.000, 0.000, 0.000)
Cd (0.000, 0.000, 0.500)
Cd (0.000, 0.500, 0.000)
Cd (0.500, 0.000, 0.000)
O (0.500, 0.500, 0.500)

* total moment: 0.00 Bohr magnetons per cell


Run b
Computed, not measured: an optimized crystal structure of KCd3O at the PBE-GGA level of DFT.

Cell: 5.031 5.031 5.031 Å, 90.00 90.00 90.00°
Sites, in units of the cell vectors:
K (0.000, 0.000, 0.000)
Cd (0.000, 0.500, 0.500)
Cd (0.500, 0.000, 0.500)
Cd (0.500, 0.500, 0.000)
O (0.500, 0.500, 0.500)

* total moment: 0.00 Bohr magnetons per cell


Which of them is most stable, and which least? Most stable: run b; least stable: run a.


Run a
Computed, not measured: an optimized crystal structure of KRbCdO2 at the PBE-GGA level of DFT.

Cell: 5.245 5.245 6.099 Å, 90.00 90.00 90.00°
Sites, in units of the cell vectors:
K (0.000, 0.000, 0.000)
Rb (0.000, 0.000, 0.500)
Cd (0.500, 0.500, 0.500)
O (0.000, 0.500, 0.000)
O (0.500, 0.000, 0.000)

* total moment: 2.00 Bohr magnetons per cell


Run b
Computed, not measured: an optimized crystal structure of KRbCdO2 at the PBE-GGA level of DFT.

Cell: 7.758 7.758 9.830 Å, 127.86 127.86 28.84°
Sites, in units of the cell vectors:
K (0.134, 0.134, 0.378)
K (0.866, 0.866, 0.622)
Rb (0.296, 0.296, 0.875)
Rb (0.704, 0.704, 0.125)
Cd (0.442, 0.442, 0.315)
Cd (0.558, 0.558, 0.685)
O (0.092, 0.092, 0.836)
O (0.357, 0.357, 0.439)
O (0.643, 0.643, 0.561)
O (0.908, 0.908, 0.164)

* total moment: 0.00 Bohr magnetons per cell


Which of them is most stable, and which least? Most stable: run b; least stable: run a.